1.
This record from Alexandria describes crystalline Pu2P4IrRh3 at its relaxed geometry. The functional is PBE.

Summary:
**SG**: P-4m2, No. 115
**Crystal system**: tetragonal
**E_form**: -872 meV per atom

abc: 4.1285 4.1285 9.5584
angles: 90.00 90.00 90.00
With the nearest neighbours (Å) after each atom.
Fractional coordinates of all 10 atoms:
Pu: 0.0000 0.5000 0.2394  8 P 3.08-3.14, 7 Rh 3.16-3.38, 2 Ir 3.24
Pu: 0.5000 0.0000 0.7606  8 P 3.08-3.14, 7 Rh 3.16-3.38, 2 Ir 3.24
P: 0.0000 0.0000 0.0000  4 Rh 2.33
P: 0.0000 0.5000 0.6404  3 Rh 2.35-2.46, 2 Ir 2.46
P: 0.5000 0.0000 0.3596  3 Rh 2.35-2.46, 2 Ir 2.46
P: 0.5000 0.5000 0.0000  4 Rh 2.33
Ir: 0.0000 0.0000 0.5000  4 P 2.46
Rh: 0.0000 0.5000 0.8861  5 P 2.33-2.35
Rh: 0.5000 0.0000 0.1139  5 P 2.33-2.35
Rh: 0.5000 0.5000 0.5000  4 P 2.46

---

2.
This record from Alexandria describes crystalline Ba2ZnH at its relaxed geometry. The functional is PBE.

Summary:
**SG**: R3m, No. 160
**Crystal system**: trigonal
**Energy above the lowest structure with this stoichiometry**: 0.0094 eV/atom

abc: 8.3631 8.3631 8.3631
angles: 30.06 30.06 30.06
With the nearest neighbours (Å) after each atom.
Fractional coordinates of all 4 atoms:
Ba: 0.0000 0.0000 0.0000  3 H 3.06, 3 Zn 3.35
Ba: 0.1914 0.1914 0.1914  3 H 3.00
Zn: 0.4261 0.4261 0.4261  6 Ba 3.35-3.44
H: 0.5934 0.5934 0.5934  6 Ba 3.00-3.06

---

3.
This record from Alexandria describes crystalline Nb4CrTc3 at its relaxed geometry. The functional is PBE.

Summary:
**SG**: P4/mmm, No. 123
**Crystal system**: tetragonal
**E_form**: -254 meV per atom

abc: 3.1739 3.1739 12.6990
angles: 90.00 90.00 90.00
With the nearest neighbours (Å) after each atom.
Fractional coordinates of all 8 atoms:
Nb: 0.0000 0.0000 0.1202  4 Cr 2.71, 4 Tc 2.77
Nb: 0.0000 0.0000 0.3730  8 Tc 2.75-2.76
Nb: 0.0000 0.0000 0.6270  8 Tc 2.75-2.76
Nb: 0.0000 0.0000 0.8798  4 Cr 2.71, 4 Tc 2.77
Cr: 0.5000 0.5000 0.0000  8 Nb 2.71
Tc: 0.5000 0.5000 0.2480  8 Nb 2.75-2.77
Tc: 0.5000 0.5000 0.5000  8 Nb 2.76
Tc: 0.5000 0.5000 0.7520  8 Nb 2.75-2.77

---

4.
This record from Alexandria describes crystalline Dy6Er2TmTh at its relaxed geometry. The functional is PBE.

Summary:
**SG**: C2/c, No. 15
**Crystal system**: monoclinic
**E_form**: 150 meV per atom

abc: 8.8115 8.8115 9.1585
angles: 91.99 91.99 116.47
With the nearest neighbours (Å) after each atom.
Fractional coordinates of all 20 atoms:
Dy: 0.0056 0.5660 0.1901  2 Dy 3.21-3.54, 1 Er 3.37, 1 Tm 3.41, 1 Th 3.44
Dy: 0.1230 0.7723 0.5596  1 Er 3.40, 7 Dy 3.41-3.67, 2 Th 3.59-3.61
Dy: 0.2277 0.8770 0.9404  1 Er 3.40, 7 Dy 3.41-3.67, 2 Th 3.59-3.61
Dy: 0.2846 0.5189 0.3924  4 Dy 3.21-3.48, 3 Er 3.30-3.41, 2 Tm 3.38-3.43
Dy: 0.4340 0.9944 0.3099  2 Dy 3.21-3.54, 1 Er 3.37, 1 Tm 3.41, 1 Th 3.44
Dy: 0.4811 0.7154 0.1076  4 Dy 3.21-3.48, 3 Er 3.30-3.41, 2 Tm 3.38-3.43
Dy: 0.5189 0.2846 0.8924  4 Dy 3.21-3.48, 3 Er 3.30-3.41, 2 Tm 3.38-3.43
Dy: 0.5660 0.0056 0.6901  2 Dy 3.21-3.54, 1 Er 3.37, 1 Tm 3.41, 1 Th 3.44
Dy: 0.7154 0.4811 0.6076  4 Dy 3.21-3.48, 3 Er 3.30-3.41, 2 Tm 3.38-3.43
Dy: 0.7723 0.1230 0.0596  1 Er 3.40, 7 Dy 3.41-3.67, 2 Th 3.59-3.61
Dy: 0.8770 0.2277 0.4404  1 Er 3.40, 7 Dy 3.41-3.67, 2 Th 3.59-3.61
Dy: 0.9944 0.4340 0.8099  2 Dy 3.21-3.54, 1 Er 3.37, 1 Tm 3.41, 1 Th 3.44
Er: 0.2037 0.3107 0.0564  6 Dy 3.30-3.61, 2 Th 3.34-3.57, 1 Tm 3.46
Er: 0.3107 0.2037 0.5564  6 Dy 3.30-3.61, 2 Th 3.34-3.57, 1 Tm 3.46
Er: 0.6893 0.7963 0.4436  6 Dy 3.30-3.61, 2 Th 3.34-3.57, 1 Tm 3.46
Er: 0.7963 0.6893 0.9436  6 Dy 3.30-3.61, 2 Th 3.34-3.57, 1 Tm 3.46
Tm: 0.4158 0.5842 0.7500  6 Dy 3.38-3.43, 4 Er 3.46-3.74
Tm: 0.5842 0.4158 0.2500  6 Dy 3.38-3.43, 4 Er 3.46-3.74
Th: 0.0344 0.9656 0.2500  4 Er 3.34-3.57, 6 Dy 3.44-3.61
Th: 0.9656 0.0344 0.7500  4 Er 3.34-3.57, 6 Dy 3.44-3.61

---

5.
This record from Alexandria describes crystalline SrRuI2N at its relaxed geometry. The functional is PBE.

Summary:
**SG**: P4/mmm, No. 123
**Crystal system**: tetragonal
**Energy above the lowest structure with this stoichiometry**: 1.5371 eV/atom

abc: 6.3072 6.3072 4.3926
angles: 90.00 90.00 90.00
With the nearest neighbours (Å) after each atom.
Fractional coordinates of all 5 atoms:
Sr: 0.0000 0.0000 0.0000  2 N 2.20
Ru: 0.5000 0.5000 0.5000  8 I 3.84
I: 0.0000 0.5000 0.0000  2 Sr 3.15
I: 0.5000 0.0000 0.0000  2 Sr 3.15
N: 0.0000 0.0000 0.5000  2 Sr 2.20

---

6.
This record from Alexandria describes crystalline La4Pr7Mg at its relaxed geometry. The functional is PBE.

Summary:
**SG**: C2/m, No. 12
**Crystal system**: monoclinic
**Energy above the lowest structure with this stoichiometry**: 0.0000 eV/atom
**E_form**: 67 meV per atom

abc: 10.3107 10.3107 6.2295
angles: 90.89 90.89 40.37
With the nearest neighbours (Å) after each atom.
Fractional coordinates of all 12 atoms:
La: 0.0939 0.6433 0.7649  1 La 3.21, 1 Pr 3.51, 1 Mg 3.51
La: 0.3567 0.9061 0.2351  1 La 3.21, 1 Pr 3.51, 1 Mg 3.51
La: 0.6433 0.0939 0.7649  1 La 3.21, 1 Pr 3.51, 1 Mg 3.51
La: 0.9061 0.3567 0.2351  1 La 3.21, 1 Pr 3.51, 1 Mg 3.51
Pr: 0.0450 0.0450 0.7433  3 Pr 3.35-3.67
Pr: 0.2181 0.2181 0.7492  5 Pr 3.35-3.72, 2 La 3.51
Pr: 0.3227 0.3227 0.2537  5 Pr 3.64-3.74, 6 La 3.74-4.04, 1 Mg 3.80
Pr: 0.5000 0.5000 0.5000  2 Mg 3.11
Pr: 0.6773 0.6773 0.7463  5 Pr 3.64-3.74, 6 La 3.74-4.04, 1 Mg 3.80
Pr: 0.7819 0.7819 0.2508  5 Pr 3.35-3.72, 2 La 3.51
Pr: 0.9550 0.9550 0.2567  3 Pr 3.35-3.67
Mg: 0.5000 0.5000 0.0000  2 Pr 3.11

---

7.
This record from Alexandria describes crystalline CaAg2Os at its relaxed geometry. The functional is PBE.

Summary:
**SG**: F-43m, No. 216
**Crystal system**: cubic
**Energy above the lowest structure with this stoichiometry**: 0.2053 eV/atom
**E_form**: 644 meV per atom

abc: 4.7741 4.7741 4.7741
angles: 60.00 60.00 60.00
With the nearest neighbours (Å) after each atom.
Fractional coordinates of all 4 atoms:
Ca: 0.0000 0.0000 0.0000  4 Os 2.92, 4 Ag 2.92
Ag: 0.5000 0.5000 0.5000  4 Os 2.92, 4 Ag 2.92
Ag: 0.7500 0.7500 0.7500  4 Ca 2.92, 4 Ag 2.92
Os: 0.2500 0.2500 0.2500  4 Ca 2.92, 4 Ag 2.92

---

8.
This record from Alexandria describes crystalline Cr2AgS4 at its relaxed geometry. The functional is PBE.

Summary:
**SG**: Pnma, No. 62
**Crystal system**: orthorhombic
**Energy above the lowest structure with this stoichiometry**: 0.1029 eV/atom

abc: 11.0864 3.4801 12.5204
angles: 90.00 90.00 90.00
With the nearest neighbours (Å) after each atom.
Fractional coordinates of all 28 atoms:
Cr: 0.0531 0.2500 0.1177  6 S 2.35-2.40
Cr: 0.0928 0.2500 0.5934  6 S 2.36-2.46
Cr: 0.4072 0.7500 0.0934  6 S 2.36-2.46
Cr: 0.4469 0.7500 0.6177  6 S 2.35-2.40
Cr: 0.5531 0.2500 0.3823  6 S 2.35-2.40
Cr: 0.5928 0.2500 0.9066  6 S 2.36-2.46
Cr: 0.9072 0.7500 0.4066  6 S 2.36-2.46
Cr: 0.9469 0.7500 0.8823  6 S 2.35-2.40
Ag: 0.2406 0.2500 0.3250  7 S 2.70-2.93
Ag: 0.2594 0.7500 0.8250  7 S 2.70-2.93
Ag: 0.7406 0.2500 0.1750  7 S 2.70-2.93
Ag: 0.7594 0.7500 0.6750  7 S 2.70-2.93
S: 0.0500 0.7500 0.7147  3 Cr 2.36-2.39
S: 0.0847 0.2500 0.9321  3 Cr 2.35-2.40
S: 0.1130 0.7500 0.4627  3 Cr 2.39-2.40
S: 0.1940 0.7500 0.1494  3 Cr 2.37-2.46
S: 0.3060 0.2500 0.6494  3 Cr 2.37-2.46
S: 0.3870 0.2500 0.9627  3 Cr 2.39-2.40
S: 0.4153 0.7500 0.4321  3 Cr 2.35-2.40
S: 0.4500 0.2500 0.2147  3 Cr 2.36-2.39
S: 0.5500 0.7500 0.7853  3 Cr 2.36-2.39
S: 0.5847 0.2500 0.5679  3 Cr 2.35-2.40
S: 0.6130 0.7500 0.0373  3 Cr 2.39-2.40
S: 0.6940 0.7500 0.3506  3 Cr 2.37-2.46
S: 0.8060 0.2500 0.8506  3 Cr 2.37-2.46
S: 0.8870 0.2500 0.5373  3 Cr 2.39-2.40
S: 0.9153 0.7500 0.0679  3 Cr 2.35-2.40
S: 0.9500 0.2500 0.2853  3 Cr 2.36-2.39

---

9.
This record from Alexandria describes crystalline TbPm4Pr7 at its relaxed geometry. The functional is PBE.

Summary:
**SG**: P-1, No. 2
**Crystal system**: triclinic
**Energy above the lowest structure with this stoichiometry**: 0.0000 eV/atom
**E_form**: 11 meV per atom

abc: 6.4188 7.4164 9.1731
angles: 89.97 76.50 89.99
With the nearest neighbours (Å) after each atom.
Fractional coordinates of all 12 atoms:
Tb: 0.0000 0.0000 0.0000  2 Pm 3.64, 10 Pr 3.65-3.71
Pm: 0.2226 0.5001 0.3332  8 Pr 3.66-3.71, 4 Pm 3.67-3.71
Pm: 0.2770 0.2502 0.6694  8 Pr 3.64-3.71, 1 Tb 3.64, 3 Pm 3.68-3.71
Pm: 0.7230 0.7498 0.3306  8 Pr 3.64-3.71, 1 Tb 3.64, 3 Pm 3.68-3.71
Pm: 0.7774 0.4999 0.6668  8 Pr 3.66-3.71, 4 Pm 3.67-3.71
Pr: 0.0000 0.5000 0.0000  4 Pm 3.64-3.66, 6 Pr 3.65-3.71, 2 Tb 3.71
Pr: 0.2219 0.9999 0.3326  6 Pr 3.65-3.71, 1 Tb 3.66, 5 Pm 3.69-3.71
Pr: 0.2779 0.7497 0.6686  5 Pr 3.65-3.71, 1 Tb 3.65, 6 Pm 3.68-3.71
Pr: 0.4998 0.2496 0.9993  3 Pm 3.64-3.67, 7 Pr 3.65-3.71, 2 Tb 3.70-3.71
Pr: 0.5002 0.7504 0.0007  3 Pm 3.64-3.67, 7 Pr 3.65-3.71, 2 Tb 3.70-3.71
Pr: 0.7221 0.2503 0.3314  5 Pr 3.65-3.71, 1 Tb 3.65, 6 Pm 3.68-3.71
Pr: 0.7781 0.0001 0.6674  6 Pr 3.65-3.71, 1 Tb 3.66, 5 Pm 3.69-3.71

---

10.
This record from Alexandria describes crystalline PaCr2W at its relaxed geometry. The functional is PBE.

Summary:
**SG**: P4/mmm, No. 123
**Crystal system**: tetragonal
**E_form**: 253 meV per atom

abc: 3.0373 3.0373 7.1959
angles: 90.00 90.00 90.00
With the nearest neighbours (Å) after each atom.
Fractional coordinates of all 4 atoms:
Pa: 0.0000 0.0000 0.0000  8 Cr 3.03, 4 Pa 3.04
Cr: 0.5000 0.5000 0.2963  4 W 2.60
Cr: 0.5000 0.5000 0.7037  4 W 2.60
W: 0.0000 0.0000 0.5000  8 Cr 2.60

---

11.
This record from Alexandria describes crystalline Ac6BiSb3Se2 at its relaxed geometry. The functional is PBE.

Summary:
**SG**: C2/m, No. 12
**Crystal system**: monoclinic
**Calculated total energy**: -64.72 eV/f.u.

abc: 10.5224 10.5224 9.4006
angles: 102.70 102.70 25.96
With the nearest neighbours (Å) after each atom.
Fractional coordinates of all 12 atoms:
Ac: 0.0029 0.0029 0.2554  3 Sb 3.31-3.36, 1 Se 3.32, 2 Bi 3.36
Ac: 0.3310 0.3310 0.9127  3 Sb 3.31-3.37, 2 Se 3.33, 1 Bi 3.38
Ac: 0.3320 0.3320 0.4200  3 Se 3.26-3.30, 3 Sb 3.35-3.36
Ac: 0.6680 0.6680 0.5800  3 Se 3.26-3.30, 3 Sb 3.35-3.36
Ac: 0.6690 0.6690 0.0873  3 Sb 3.31-3.37, 2 Se 3.33, 1 Bi 3.38
Ac: 0.9971 0.9971 0.7446  3 Sb 3.31-3.36, 1 Se 3.32, 2 Bi 3.36
Bi: 0.5000 0.5000 0.0000  6 Ac 3.36-3.38
Sb: 0.1654 0.1654 0.8305  6 Ac 3.31-3.37
Sb: 0.5000 0.5000 0.5000  6 Ac 3.31-3.36
Sb: 0.8346 0.8346 0.1695  6 Ac 3.31-3.37
Se: 0.1690 0.1690 0.3362  6 Ac 3.26-3.33
Se: 0.8310 0.8310 0.6638  6 Ac 3.26-3.33

---

Asked for total magnetization across the records above, the calculation gives 10.2 0.0 0.0 0.0 3.2 0.0 1.2 5.0 0.0 3.0 0.0 μB/f.u. in order.